This record from Alexandria via LeMat-Bulk describes an optimized crystal structure of Pr2Bi2O. The functional is PBE.

Cell lengths 4.235, 8.277, 8.639 Å; angles 90.00, 104.19, 90.00 degrees
Positions (direct):
Pr 0.463 0.381 0.926
Pr 0.858 0.052 0.716
Pr 0.142 0.552 0.284
Pr 0.537 0.881 0.074
Bi 0.923 0.681 0.846
Bi 0.794 0.428 0.589
Bi 0.206 0.928 0.411
Bi 0.077 0.181 0.154
O 0.416 0.092 0.832
O 0.584 0.592 0.168

Summary:
- total magnetization (μB per cell) = 0.0
- raw formation energy (eV per atom) = -1.42
- DOS at the Fermi energy (states/eV per cell) = 5.4


This record from Alexandria via LeMat-Bulk describes an optimized crystal structure of Ga2MoH. The functional is PBE.

Cell lengths 6.353, 6.353, 5.145 Å; angles 51.87, 51.87, 90.00 degrees
Positions (direct):
H 0.500 0.500 0.000
H 0.250 0.750 0.500
Mo 0.000 0.000 0.000
Mo 0.750 0.250 0.500
Ga 0.543 0.125 0.250
Ga 0.207 0.625 0.250
Ga 0.375 0.457 0.750
Ga 0.875 0.793 0.750

Summary:
- total magnetization (μB per cell) = 0.0
- DOS at the Fermi energy (states/eV per cell) = 3.6


This record from Alexandria via LeMat-Bulk describes an optimized crystal structure of Ga2SnPd. The functional is PBE.

Cell lengths 3.161, 3.161, 9.385 Å; angles 80.31, 80.31, 60.00 degrees
Positions (direct):
Ga 0.099 0.099 0.702
Ga 0.901 0.901 0.298
Sn 0.000 0.000 0.000
Pd 0.500 0.500 0.500

Summary:
- total magnetization (μB per cell) = 0.0
- DOS at the Fermi energy (states/eV per cell) = 1.7


This record from Alexandria via LeMat-Bulk describes an optimized crystal structure of Cr2CuRh9. The functional is PBE.

Cell lengths 3.798, 3.798, 11.449 Å; angles 90.00, 90.00, 90.00 degrees
Last column: magnetic moment on the atom in μB.
Positions (direct):
Cr 0.000 0.000 0.328  1.58
Cr 0.000 0.000 0.672  1.58
Cu 0.000 0.000 0.000  -0.05
Rh 0.500 0.500 0.000  -0.14
Rh 0.500 0.500 0.336  -0.20
Rh 0.500 0.500 0.664  -0.20
Rh 0.500 0.000 0.171  -0.18
Rh 0.500 0.000 0.500  -0.17
Rh 0.500 0.000 0.829  -0.18
Rh 0.000 0.500 0.171  -0.18
Rh 0.000 0.500 0.500  -0.17
Rh 0.000 0.500 0.829  -0.18

Summary:
- total magnetization (μB per cell) = 1.6
- DOS at the Fermi energy (states/eV per cell) = 11.9


This record from Alexandria via LeMat-Bulk describes an optimized crystal structure of ScInAg2. The functional is PBE.

Cell lengths 4.809, 3.053, 5.712 Å; angles 90.24, 90.00, 90.00 degrees
Last column: magnetic moment on the atom in μB.
Positions (direct):
Ag 0.000 0.254 0.988  0.01
Ag 0.000 0.246 0.512  0.01
In 0.500 0.250 0.250  0.01
Sc 0.500 0.750 0.750  0.23

Summary:
- total magnetization (μB per cell) = 0.3
- DOS at the Fermi energy (states/eV per cell) = 2.4


This record from Alexandria via LeMat-Bulk describes an optimized crystal structure of Th6Os3Au. The functional is PBE.

Cell lengths 4.222, 11.957, 11.982 Å; angles 109.34, 90.00, 90.00 degrees
Positions (direct):
Th 0.750 0.461 0.604
Th 0.250 0.539 0.396
Th 0.750 0.925 0.092
Th 0.250 0.075 0.908
Th 0.750 0.392 0.053
Th 0.250 0.608 0.947
Th 0.750 0.717 0.265
Th 0.250 0.283 0.735
Th 0.750 0.127 0.451
Th 0.250 0.873 0.549
Th 0.750 0.782 0.761
Th 0.250 0.218 0.239
Os 0.750 0.448 0.833
Os 0.250 0.552 0.167
Os 0.750 0.697 0.501
Os 0.250 0.303 0.499
Os 0.750 0.158 0.079
Os 0.250 0.842 0.921
Au 0.750 0.059 0.693
Au 0.250 0.941 0.307

Summary:
- total magnetization (μB per cell) = 0.0
- DOS at the Fermi energy (states/eV per cell) = 17.9


| no. | calculated total energy (eV per atom) |
| --- | --- |
| 1 | -5.87 |
| 2 | -4.81 |
| 3 | -4.04 |
| 4 | -7.53 |
| 5 | -3.85 |
| 6 | -8.49 |